Compound: LaPRu
Source: Alexandria via LeMat-Bulk
Functional: PBE
Structure: relaxed

## Properties
**Density**: 7.0 g cm⁻³
**Total magnetic moment**: 0.0 μB per formula unit
**Energy of formation**: -374.5 meV/atom

a b c (Å): 4.5054 4.5054 4.5054
angles (deg): 60.00 60.00 60.00
With the nearest neighbours (Å) after each atom.
Element x y z (fractional)
1 La 0.0000 0.0000 0.0000  4 Ru 2.76
2 P 0.5000 0.5000 0.5000  4 Ru 2.76
3 Ru 0.7500 0.7500 0.7500  4 La 2.76, 4 P 2.76